A relaxed ZnBiIO2 crystal, computed with GGA-PBE.

a = 4.312 Å, b = 4.312 Å, c = 5.103 Å
α = 90.00°, β = 90.00°, γ = 90.00°
Sites, in units of the cell vectors:
Zn: 0.000 0.000 0.000
Bi: 0.500 0.500 0.500
I: 0.000 0.000 0.500
O: 0.000 0.500 0.000
O: 0.500 0.000 0.000

Output
uncorrected energy	-16.2	eV/cell
raw formation energy	7.8	kJ/mol of atoms



A relaxed RbH2F crystal, computed with GGA-PBE.

a = 11.691 Å, b = 11.691 Å, c = 11.691 Å
α = 162.23°, β = 162.23°, γ = 25.23°
Sites, in units of the cell vectors:
Rb: 0.375 0.625 0.750
Rb: 0.625 0.375 0.250
H: 0.000 0.000 0.000
H: 0.000 0.000 0.500
H: 0.000 0.500 0.000
H: 0.500 0.000 0.500
F: 0.125 0.875 0.250
F: 0.875 0.125 0.750

Output
energy above the lowest structure with this stoichiometry	0.950	eV/atom
uncorrected energy	-22.1	eV/cell



A relaxed CeMgRh3 crystal, computed with GGA-PBE.

a = 3.969 Å, b = 3.969 Å, c = 6.246 Å
α = 94.83°, β = 94.83°, γ = 90.58°
Sites, in units of the cell vectors:
Ce: 0.000 0.000 0.000
Mg: 0.568 0.568 0.390
Rh: 0.062 0.062 0.378
Rh: 0.115 0.589 0.704
Rh: 0.589 0.115 0.704

Output
formation energy from the elements	-0.45	eV per atom
uncorrected energy	-31.8	eV/cell



A relaxed MnMoCl2 crystal, computed with GGA-PBE.

a = 2.991 Å, b = 2.991 Å, c = 8.454 Å
α = 90.00°, β = 90.00°, γ = 90.00°
Sites, in units of the cell vectors:
Mn: 0.000 0.000 0.000
Mo: 0.500 0.500 0.218
Cl: 0.000 0.000 0.403
Cl: 0.500 0.500 0.822

Output
energy above the lowest structure with this stoichiometry	0.165	eV/atom
uncorrected energy	-24.2	eV/cell
raw formation energy	-13.3	kJ/mol of atoms



A relaxed LiHoTh2 crystal, computed with GGA-PBE.

a = 3.480 Å, b = 3.480 Å, c = 9.563 Å
α = 90.00°, β = 90.00°, γ = 90.00°
Sites, in units of the cell vectors:
Li: 0.000 0.000 0.000
Ho: 0.000 0.000 0.500
Th: 0.500 0.500 0.232
Th: 0.500 0.500 0.768

Output
formation energy from the elements	0.16	eV per atom
energy above the lowest structure with this stoichiometry	0.016	eV/atom
uncorrected energy	-20.7	eV/cell



A relaxed GdTlCuAu crystal, computed with GGA-PBE.

a = 4.933 Å, b = 4.933 Å, c = 4.933 Å
α = 60.00°, β = 60.00°, γ = 60.00°
Sites, in units of the cell vectors:
Gd: 0.000 0.000 0.000
Tl: 0.500 0.500 0.500
Cu: 0.250 0.250 0.250
Au: 0.750 0.750 0.750

Output
formation energy from the elements	-0.34	eV per atom
uncorrected energy	-25.2	eV/cell



Q: Which value of uncorrected energy does entry 4 give?
A: -24.2 eV/cell



Q: Which of these has the lowest uncorrected energy?
A: CeMgRh3



Q: What is the uncorrected energy in the second record?
A: -22.1 eV/cell